! PBE Tl3Cu2Cl6, relaxed; values from VASP
&SYSTEM
  ibrav = 0, nat = 11, ntyp = 3
/
ATOMIC_SPECIES
Tl 204.38 Tl.upf
Cu 63.55 Cu.upf
Cl 35.45 Cl.upf
CELL_PARAMETERS angstrom
-2.363 2.363 13.322
2.363 -2.363 13.322
2.363 2.363 -13.322
ATOMIC_POSITIONS crystal
Tl 0.000 0.000 0.000
Tl 0.184 0.184 0.000
Tl 0.816 0.816 0.000
Cu 0.397 0.397 0.000
Cu 0.603 0.603 0.000
Cl 0.086 0.586 0.500
Cl 0.304 0.304 0.000
Cl 0.414 0.914 0.500
Cl 0.586 0.086 0.500
Cl 0.696 0.696 0.000
Cl 0.914 0.414 0.500
! magnetization: 0.0000 μB/atom
! formation energy from raw total energies: -0.778 eV/atom
! total energy: -34.9 eV for the cell shown


! PBE LiZrBr2, relaxed; values from VASP
&SYSTEM
  ibrav = 0, nat = 4, ntyp = 3
/
ATOMIC_SPECIES
Li 6.94 Li.upf
Zr 91.22 Zr.upf
Br 79.90 Br.upf
CELL_PARAMETERS angstrom
1.676 -3.258 0.000
1.676 3.258 0.000
0.000 0.000 8.384
ATOMIC_POSITIONS crystal
Li 0.000 0.000 0.000
Zr 0.000 0.000 0.500
Br 0.500 0.500 0.227
Br 0.500 0.500 0.773
! magnetization: 0.0000 μB/atom
! formation energy from raw total energies: -0.739 eV/atom
! energy above the lowest structure with this stoichiometry: 37 kJ/mol of formula units
! total energy: -16.8 eV for the cell shown


! PBE LiCaSeBrF, relaxed; values from VASP
&SYSTEM
  ibrav = 0, nat = 5, ntyp = 5
/
ATOMIC_SPECIES
Li 6.94 Li.upf
Ca 40.08 Ca.upf
Se 78.96 Se.upf
Br 79.90 Br.upf
F 19.00 F.upf
CELL_PARAMETERS angstrom
3.730 -2.154 0.000
3.730 2.154 0.000
-0.017 0.000 6.832
ATOMIC_POSITIONS crystal
Li 0.000 0.000 0.000
Ca 0.334 0.334 0.313
Se 0.667 0.667 0.003
Br 0.668 0.668 0.574
F 0.001 0.001 0.283
! magnetization: 0.1007 μB/atom
! formation energy from raw total energies: -1.861 eV/atom
! energy above the lowest structure with this stoichiometry: 45 kJ/mol of formula units
! total energy: -20.2 eV for the cell shown


! PBE KMgInSb2, relaxed; values from VASP
&SYSTEM
  ibrav = 0, nat = 10, ntyp = 4
/
ATOMIC_SPECIES
K 39.10 K.upf
Mg 24.30 Mg.upf
In 114.82 In.upf
Sb 121.76 Sb.upf
CELL_PARAMETERS angstrom
7.471 -2.356 0.000
7.471 2.356 0.000
-1.546 0.000 10.406
ATOMIC_POSITIONS crystal
K 0.149 0.149 0.172
K 0.851 0.851 0.828
Mg 0.181 0.181 0.576
Mg 0.819 0.819 0.424
In 0.441 0.441 0.306
In 0.559 0.559 0.694
Sb 0.132 0.132 0.832
Sb 0.374 0.374 0.569
Sb 0.626 0.626 0.431
Sb 0.868 0.868 0.168
! magnetization: 0.0000 μB/atom
! formation energy from raw total energies: -0.351 eV/atom
! total energy: -30.9 eV for the cell shown


! PBE Er2TmF, relaxed; values from VASP
&SYSTEM
  ibrav = 0, nat = 4, ntyp = 3
/
ATOMIC_SPECIES
Er 167.26 Er.upf
Tm 168.93 Tm.upf
F 19.00 F.upf
CELL_PARAMETERS angstrom
1.818 1.050 8.323
-1.818 1.050 8.323
0.000 -2.100 8.323
ATOMIC_POSITIONS crystal
Er 0.223 0.223 0.223
Er 0.777 0.777 0.777
Tm 0.000 0.000 0.000
F 0.500 0.500 0.500
! magnetization: 0.0000 μB/atom
! formation energy from raw total energies: -1.129 eV/atom
! total energy: -20.0 eV for the cell shown


! PBE Ca2AgBiF, relaxed; values from VASP
&SYSTEM
  ibrav = 0, nat = 5, ntyp = 4
/
ATOMIC_SPECIES
Ca 40.08 Ca.upf
Ag 107.87 Ag.upf
Bi 208.98 Bi.upf
F 19.00 F.upf
CELL_PARAMETERS angstrom
6.108 0.000 0.000
0.000 6.108 0.000
0.000 0.000 4.658
ATOMIC_POSITIONS crystal
Ca 0.000 0.500 0.000
Ca 0.500 0.000 0.000
Ag 0.000 0.000 0.500
Bi 0.500 0.500 0.000
F 0.500 0.500 0.500
! magnetization: 0.0000 μB/atom
! formation energy from raw total energies: -0.586 eV/atom
! total energy: -15.5 eV for the cell shown


! PBE Ac8SiSb4Te3, relaxed; values from VASP
&SYSTEM
  ibrav = 0, nat = 16, ntyp = 4
/
ATOMIC_SPECIES
Ac 227.00 Ac.upf
Si 28.09 Si.upf
Sb 121.76 Sb.upf
Te 127.60 Te.upf
CELL_PARAMETERS angstrom
4.762 2.749 7.746
-4.762 2.749 7.746
0.000 -5.499 7.746
ATOMIC_POSITIONS crystal
Ac 0.237 0.758 0.758
Ac 0.242 0.242 0.763
Ac 0.242 0.763 0.242
Ac 0.247 0.247 0.247
Ac 0.753 0.753 0.753
Ac 0.758 0.237 0.758
Ac 0.758 0.758 0.237
Ac 0.763 0.242 0.242
Si 0.000 0.000 0.000
Sb 0.000 0.000 0.500
Sb 0.000 0.500 0.000
Sb 0.500 0.000 0.000
Sb 0.500 0.500 0.500
Te 0.000 0.500 0.500
Te 0.500 0.000 0.500
Te 0.500 0.500 0.000
! magnetization: 0.0000 μB/atom
! formation energy from raw total energies: -1.286 eV/atom
! total energy: -84.8 eV for the cell shown


! PBE HfCd2Pd, relaxed; values from VASP
&SYSTEM
  ibrav = 0, nat = 8, ntyp = 3
/
ATOMIC_SPECIES
Hf 178.49 Hf.upf
Cd 112.41 Cd.upf
Pd 106.42 Pd.upf
CELL_PARAMETERS angstrom
-3.944 3.944 2.740
3.944 -3.944 2.740
3.944 3.944 -2.740
ATOMIC_POSITIONS crystal
Hf 0.000 0.000 0.000
Hf 0.750 0.250 0.500
Cd 0.155 0.625 0.030
Cd 0.375 0.405 0.530
Cd 0.595 0.125 0.970
Cd 0.875 0.845 0.470
Pd 0.250 0.750 0.500
Pd 0.500 0.500 0.000
! magnetization: 0.0000 μB/atom
! energy of formation: 0.126 eV/atom
! total energy: -32.9 eV for the cell shown


! PBE LiPd3Au4, relaxed; values from VASP
&SYSTEM
  ibrav = 0, nat = 8, ntyp = 3
/
ATOMIC_SPECIES
Li 6.94 Li.upf
Pd 106.42 Pd.upf
Au 196.97 Au.upf
CELL_PARAMETERS angstrom
-2.033 2.033 7.919
2.033 -2.033 7.919
2.033 2.033 -7.919
ATOMIC_POSITIONS crystal
Li 0.000 0.000 0.000
Pd 0.251 0.251 0.000
Pd 0.500 0.500 0.000
Pd 0.749 0.749 0.000
Au 0.123 0.623 0.500
Au 0.377 0.877 0.500
Au 0.623 0.123 0.500
Au 0.877 0.377 0.500
! magnetization: 0.0000 μB/atom
! energy of formation: -0.234 eV/atom
! energy above the lowest structure with this stoichiometry: 0 kJ/mol of formula units
! total energy: -32.5 eV for the cell shown


! PBE LiPt2W, relaxed; values from VASP
&SYSTEM
  ibrav = 0, nat = 4, ntyp = 3
/
ATOMIC_SPECIES
Li 6.94 Li.upf
Pt 195.08 Pt.upf
W 183.84 W.upf
CELL_PARAMETERS angstrom
3.357 0.000 0.000
0.000 3.357 0.000
0.000 0.000 5.356
ATOMIC_POSITIONS crystal
Li 0.000 0.000 0.000
Pt 0.000 0.000 0.494
Pt 0.500 0.500 0.190
W 0.500 0.500 0.712
! magnetization: 0.0000 μB/atom
! energy of formation: -0.025 eV/atom
! total energy: -27.0 eV for the cell shown


! PBE In2Te6Au, relaxed; values from VASP
&SYSTEM
  ibrav = 0, nat = 18, ntyp = 3
/
ATOMIC_SPECIES
In 114.82 In.upf
Te 127.60 Te.upf
Au 196.97 Au.upf
CELL_PARAMETERS angstrom
6.585 -6.265 0.000
6.585 6.265 0.000
-2.000 0.000 7.613
ATOMIC_POSITIONS crystal
In 0.092 0.284 0.312
In 0.284 0.092 0.812
In 0.716 0.908 0.188
In 0.908 0.716 0.688
Te 0.010 0.161 0.591
Te 0.135 0.521 0.813
Te 0.161 0.010 0.091
Te 0.307 0.513 0.396
Te 0.479 0.865 0.687
Te 0.487 0.693 0.104
Te 0.513 0.307 0.896
Te 0.521 0.135 0.313
Te 0.693 0.487 0.604
Te 0.839 0.990 0.909
Te 0.865 0.479 0.187
Te 0.990 0.839 0.409
Au 0.427 0.573 0.750
Au 0.573 0.427 0.250
! magnetization: 0.0000 μB/atom
! formation energy from raw total energies: -0.070 eV/atom
! total energy: -56.5 eV for the cell shown


! PBE Pr2Si4TcPt3, relaxed; values from VASP
&SYSTEM
  ibrav = 0, nat = 10, ntyp = 4
/
ATOMIC_SPECIES
Pr 140.91 Pr.upf
Si 28.09 Si.upf
Tc 98.00 Tc.upf
Pt 195.08 Pt.upf
CELL_PARAMETERS angstrom
4.261 0.000 0.000
0.000 4.261 0.000
0.000 0.000 9.938
ATOMIC_POSITIONS crystal
Pr 0.000 0.500 0.244
Pr 0.500 0.000 0.756
Si 0.000 0.000 0.000
Si 0.000 0.500 0.625
Si 0.500 0.000 0.375
Si 0.500 0.500 0.000
Tc 0.000 0.000 0.500
Pt 0.000 0.500 0.877
Pt 0.500 0.000 0.123
Pt 0.500 0.500 0.500
! magnetization: 0.0000 μB/atom
! formation energy from raw total energies: -1.027 eV/atom
! total energy: -70.0 eV for the cell shown


! PBE LaMg2Zn2, relaxed; values from VASP
&SYSTEM
  ibrav = 0, nat = 10, ntyp = 3
/
ATOMIC_SPECIES
La 138.91 La.upf
Mg 24.30 Mg.upf
Zn 65.41 Zn.upf
CELL_PARAMETERS angstrom
8.326 0.000 0.000
0.000 8.326 0.000
0.000 0.000 3.235
ATOMIC_POSITIONS crystal
La 0.000 0.000 0.000
La 0.500 0.500 0.000
Mg 0.168 0.332 0.500
Mg 0.332 0.832 0.500
Mg 0.668 0.168 0.500
Mg 0.832 0.668 0.500
Zn 0.123 0.623 0.000
Zn 0.377 0.123 0.000
Zn 0.623 0.877 0.000
Zn 0.877 0.377 0.000
! magnetization: 0.0597 μB/atom
! energy of formation: -0.095 eV/atom
! energy above the lowest structure with this stoichiometry: 69 kJ/mol of formula units
! total energy: -22.3 eV for the cell shown


! PBE TbPm2AlN, relaxed; values from VASP
&SYSTEM
  ibrav = 0, nat = 5, ntyp = 4
/
ATOMIC_SPECIES
Tb 158.93 Tb.upf
Pm 145.00 Pm.upf
Al 26.98 Al.upf
N 14.01 N.upf
CELL_PARAMETERS angstrom
4.953 0.000 0.000
0.000 4.953 0.000
0.000 0.000 4.807
ATOMIC_POSITIONS crystal
Tb 0.000 0.000 0.000
Pm 0.000 0.500 0.500
Pm 0.500 0.000 0.500
Al 0.500 0.500 0.000
N 0.000 0.000 0.500
! magnetization: 0.0000 μB/atom
! formation energy from raw total energies: -0.825 eV/atom
! total energy: -30.3 eV for the cell shown


! PBE Pr5Sm2Mg5, relaxed; values from VASP
&SYSTEM
  ibrav = 0, nat = 12, ntyp = 3
/
ATOMIC_SPECIES
Pr 140.91 Pr.upf
Sm 150.36 Sm.upf
Mg 24.30 Mg.upf
CELL_PARAMETERS angstrom
8.624 -1.879 0.000
8.624 1.879 0.000
-5.033 0.000 11.358
ATOMIC_POSITIONS crystal
Pr 0.000 0.000 0.000
Pr 0.067 0.067 0.747
Pr 0.171 0.171 0.533
Pr 0.829 0.829 0.467
Pr 0.933 0.933 0.253
Sm 0.386 0.386 0.739
Sm 0.614 0.614 0.261
Mg 0.259 0.259 0.213
Mg 0.326 0.326 0.000
Mg 0.500 0.500 0.500
Mg 0.674 0.674 0.000
Mg 0.741 0.741 0.787
! magnetization: 0.0000 μB/atom
! energy of formation: -0.042 eV/atom
! total energy: -41.8 eV for the cell shown


! PBE Al2GaBr2, relaxed; values from VASP
&SYSTEM
  ibrav = 0, nat = 5, ntyp = 3
/
ATOMIC_SPECIES
Al 26.98 Al.upf
Ga 69.72 Ga.upf
Br 79.90 Br.upf
CELL_PARAMETERS angstrom
-1.905 1.905 8.924
1.905 -1.905 8.924
1.905 1.905 -8.924
ATOMIC_POSITIONS crystal
Al 0.250 0.750 0.500
Al 0.750 0.250 0.500
Ga 0.000 0.000 0.000
Br 0.395 0.395 0.000
Br 0.605 0.605 0.000
! magnetization: 0.0000 μB/atom
! formation energy from raw total energies: -0.162 eV/atom
! energy above the lowest structure with this stoichiometry: 0 kJ/mol of formula units
! total energy: -14.7 eV for the cell shown


! PBE K3Np3AsS8, relaxed; values from VASP
&SYSTEM
  ibrav = 0, nat = 15, ntyp = 4
/
ATOMIC_SPECIES
K 39.10 K.upf
Np 237.00 Np.upf
As 74.92 As.upf
S 32.06 S.upf
CELL_PARAMETERS angstrom
6.997 -4.034 0.000
6.997 4.034 0.000
-4.650 0.000 7.427
ATOMIC_POSITIONS crystal
K 0.000 0.000 0.000
K 0.000 0.500 0.000
K 0.500 0.000 0.000
Np 0.000 0.500 0.500
Np 0.500 0.000 0.500
Np 0.500 0.500 0.500
As 0.000 0.000 0.500
S 0.223 0.223 0.688
S 0.224 0.743 0.690
S 0.257 0.776 0.310
S 0.265 0.265 0.298
S 0.735 0.735 0.702
S 0.743 0.224 0.690
S 0.776 0.257 0.310
S 0.777 0.777 0.312
! magnetization: 0.2486 μB/atom
! formation energy from raw total energies: -1.145 eV/atom
! total energy: -97.0 eV for the cell shown


! PBE RbY2OsPt, relaxed; values from VASP
&SYSTEM
  ibrav = 0, nat = 5, ntyp = 4
/
ATOMIC_SPECIES
Rb 85.47 Rb.upf
Y 88.91 Y.upf
Os 190.23 Os.upf
Pt 195.08 Pt.upf
CELL_PARAMETERS angstrom
5.370 0.000 0.000
0.000 5.370 0.000
0.000 0.000 5.767
ATOMIC_POSITIONS crystal
Rb 0.000 0.000 0.000
Y 0.000 0.500 0.500
Y 0.500 0.000 0.500
Os 0.500 0.500 0.000
Pt 0.000 0.000 0.500
! magnetization: 0.3691 μB/atom
! energy of formation: 0.931 eV/atom
! energy above the lowest structure with this stoichiometry: 251 kJ/mol of formula units
! total energy: -26.5 eV for the cell shown


! PBE Rb2Na4Ga, relaxed; values from VASP
&SYSTEM
  ibrav = 0, nat = 7, ntyp = 3
/
ATOMIC_SPECIES
Rb 85.47 Rb.upf
Na 22.99 Na.upf
Ga 69.72 Ga.upf
CELL_PARAMETERS angstrom
-2.964 2.964 10.030
2.964 -2.964 10.030
2.964 2.964 -10.030
ATOMIC_POSITIONS crystal
Rb 0.145 0.145 0.000
Rb 0.855 0.855 0.000
Na 0.000 0.500 0.500
Na 0.353 0.353 0.000
Na 0.500 0.000 0.500
Na 0.647 0.647 0.000
Ga 0.500 0.500 0.000
! magnetization: 0.0000 μB/atom
! energy of formation: 0.080 eV/atom
! total energy: -9.7 eV for the cell shown


! PBE Na4Y3US8, relaxed; values from VASP
&SYSTEM
  ibrav = 0, nat = 16, ntyp = 4
/
ATOMIC_SPECIES
Na 22.99 Na.upf
Y 88.91 Y.upf
U 238.03 U.upf
S 32.06 S.upf
CELL_PARAMETERS angstrom
3.991 2.304 6.696
-3.991 2.304 6.696
0.000 -4.609 6.696
ATOMIC_POSITIONS crystal
Na 0.000 0.000 0.000
Na 0.000 0.500 0.500
Na 0.500 0.000 0.500
Na 0.500 0.500 0.000
Y 0.000 0.000 0.500
Y 0.000 0.500 0.000
Y 0.500 0.000 0.000
U 0.500 0.500 0.500
S 0.243 0.243 0.243
S 0.243 0.743 0.743
S 0.257 0.257 0.757
S 0.257 0.757 0.257
S 0.743 0.243 0.743
S 0.743 0.743 0.243
S 0.757 0.257 0.257
S 0.757 0.757 0.757
! magnetization: 0.1878 μB/atom
! formation energy from raw total energies: -1.709 eV/atom
! total energy: -96.3 eV for the cell shown